(1)
HfHgRu3: optimized geometry, PBE.

Energy above the most stable polymorph in this dataset = 550 meV per atom
Energy of formation = 1.977 eV per atom
Magnetization = 3.06 μB per formula unit
VASP energy = -28.196 eV for the cell shown

Cell: 4.8294 4.8294 4.8294 Å, 90.00 90.00 90.00°
Last column: nearest neighbours and their distance in Å.
Positions (direct):
Ru (0.0000, 0.0000, 0.5000)  2 Hg 2.41
Ru (0.5000, 0.0000, 0.0000)  2 Hg 2.41
Ru (0.0000, 0.5000, 0.0000)  2 Hg 2.41
Hf (0.5000, 0.5000, 0.5000)  12 Ru 3.41
Hg (0.0000, 0.0000, 0.0000)  6 Ru 2.41


(2)
HfHg3Ru: optimized geometry, PBE.

Energy above the most stable polymorph in this dataset = 0 meV per atom
Energy of formation = 1.083 eV per atom
Magnetization = 0.00 μB per formula unit
VASP energy = -14.721 eV for the cell shown

Cell: 5.0842 5.0842 5.0842 Å, 90.00 90.00 90.00°
Last column: nearest neighbours and their distance in Å.
Positions (direct):
Hg (0.0000, 0.0000, 0.5000)  2 Ru 2.54
Hg (0.5000, 0.0000, 0.0000)  2 Ru 2.54
Hg (0.0000, 0.5000, 0.0000)  2 Ru 2.54
Hf (0.5000, 0.5000, 0.5000)  12 Hg 3.60
Ru (0.0000, 0.0000, 0.0000)  6 Hg 2.54


(3)
HfHgRu3: optimized geometry, PBE.

Energy above the most stable polymorph in this dataset = 0 meV per atom
Energy of formation = 1.427 eV per atom
Magnetization = 3.69 μB per formula unit
VASP energy = -30.946 eV for the cell shown

Cell: 4.7925 4.7925 4.7925 Å, 90.00 90.00 90.00°
Last column: nearest neighbours and their distance in Å.
Positions (direct):
Hg (0.5000, 0.5000, 0.5000)  12 Ru 3.39
Ru (0.0000, 0.5000, 0.0000)  2 Hf 2.40
Ru (0.5000, 0.0000, 0.0000)  2 Hf 2.40
Ru (0.0000, 0.0000, 0.5000)  2 Hf 2.40
Hf (0.0000, 0.0000, 0.0000)  6 Ru 2.40